[1]
Below is an optimized crystal structure of HoHBrCl, with properties calculated at the PBE level.

Summary:
uncorrected energy = -18.031 eV per formula unit
total moment = 0.000 Bohr magnetons per cell
volume = 177 Å³/cell

Structure (extended XYZ):
```
8
Lattice="-3.079 -1.180 1.810 0.495 -0.862 -3.627 6.895 -12.128 3.823" Properties=species:S:1:pos:R:3 pbc="T T T"
Br 1.920 -5.570 -0.364
Br 4.176 -11.739 3.359
Cl 0.179 -2.508 -1.329
Cl 2.436 -8.678 2.395
H -0.182 -4.073 0.943
H 4.456 -10.031 1.042
Ho 1.698 -2.986 0.941
Ho 5.145 -9.050 2.853
```

[2]
Below is an optimized crystal structure of LiTcTe2AuSe, with properties calculated at the PBE level.

Summary:
uncorrected energy = -26.313 eV per formula unit
total moment = 1.535 Bohr magnetons per cell
volume = 298 Å³/cell

Structure (extended XYZ):
```
12
Lattice="1.930 -8.023 0.000 1.930 8.023 0.000 0.000 0.000 9.611" Properties=species:S:1:pos:R:3 pbc="T T T"
Au 1.930 5.510 2.403
Au 1.930 -5.510 7.208
Li 1.930 -4.300 2.403
Li 1.930 4.300 7.208
Se 1.930 -0.066 2.403
Se 1.930 0.066 7.208
Tc 1.930 0.000 0.000
Tc 1.930 0.000 4.806
Te 1.930 -6.013 0.189
Te 1.930 -6.013 4.616
Te 1.930 6.013 4.995
Te 1.930 6.013 9.422
```

[3]
Below is an optimized crystal structure of SrAsAuO, with properties calculated at the PBE level.

Summary:
offset from the most stable computed form = 309 kJ/mol of formula units
volume = 169 Å³/cell

Structure (extended XYZ):
```
8
Lattice="5.896 0.000 0.000 0.000 5.896 0.000 0.000 0.000 4.849" Properties=species:S:1:pos:R:3 pbc="T T T"
As 4.422 4.422 1.654
As 1.474 1.474 3.195
Au 1.474 1.474 0.751
Au 4.422 4.422 4.098
O 4.422 1.474 0.000
O 1.474 4.422 0.000
Sr 4.422 1.474 2.425
Sr 1.474 4.422 2.425
```

[4]
Below is an optimized crystal structure of ScHgMo2, with properties calculated at the PBE level.

Summary:
energy relative to the elements = 0.208 eV/atom
total moment = 0.015 Bohr magnetons per cell
volume = 71 Å³/cell

Structure (extended XYZ):
```
4
Lattice="0.827 -4.359 1.397 -2.276 -1.739 3.665 -3.229 -3.291 -0.615" Properties=species:S:1:pos:R:3 pbc="T T T"
Hg -3.509 -7.043 3.335
Mo -1.170 -2.348 1.112
Mo -2.339 -4.695 2.223
Sc 0.000 0.000 0.000
```

[5]
Below is an optimized crystal structure of LiPaGe, with properties calculated at the PBE level.

Summary:
total moment = 1.120 Bohr magnetons per cell
offset from the most stable computed form = 0 kJ/mol of formula units
volume = 71 Å³/cell

Structure (extended XYZ):
```
3
Lattice="0.000 3.285 3.285 3.285 0.000 3.285 3.285 3.285 0.000" Properties=species:S:1:pos:R:3 pbc="T T T"
Ge 0.000 0.000 0.000
Li 1.642 1.642 1.642
Pa 4.927 4.927 4.927
```

[6]
Below is an optimized crystal structure of Pr2GePt, with properties calculated at the PBE level.

Summary:
uncorrected energy = -24.054 eV per formula unit
total moment = 0.006 Bohr magnetons per cell
volume = 102 Å³/cell

Structure (extended XYZ):
```
4
Lattice="4.352 0.000 0.000 0.000 2.086 5.626 0.000 -2.086 5.626" Properties=species:S:1:pos:R:3 pbc="T T T"
Ge 0.000 0.000 4.754
Pr 0.000 0.000 1.541
Pr 2.176 0.000 9.667
Pt 2.176 0.000 6.543
```

[7]
Below is an optimized crystal structure of Lu2TeAu, with properties calculated at the PBE level.

Summary:
uncorrected energy = -16.079 eV per formula unit
total moment = 0.109 Bohr magnetons per cell
volume = 99 Å³/cell

Structure (extended XYZ):
```
4
Lattice="0.000 3.666 3.666 3.666 0.000 3.666 3.666 3.666 0.000" Properties=species:S:1:pos:R:3 pbc="T T T"
Au 3.666 3.666 3.666
Lu 0.000 0.000 0.000
Lu 1.833 1.833 1.833
Te 5.499 5.499 5.499
```

[8]
Below is an optimized crystal structure of TbGaNi, with properties calculated at the PBE level.

Summary:
uncorrected energy = -15.152 eV per formula unit
total moment = 0.009 Bohr magnetons per cell
volume = 218 Å³/cell

Structure (extended XYZ):
```
12
Lattice="-0.992 -6.765 -0.928 2.513 -0.837 3.415 -5.862 0.259 4.377" Properties=species:S:1:pos:R:3 pbc="T T T"
Ga 0.599 -6.153 2.153
Ga -0.891 -2.683 4.100
Ga -3.450 -4.659 2.764
Ga -4.940 -1.190 4.711
Ni 1.146 -1.989 2.771
Ni -1.210 -5.289 3.695
Ni -3.131 -2.054 3.168
Ni -5.487 -5.354 4.093
Tb -1.045 -3.672 1.236
Tb -1.164 -0.262 2.159
Tb -3.177 -7.080 4.704
Tb -3.296 -3.671 5.627
```

[9]
Below is an optimized crystal structure of ScFeCuGe, with properties calculated at the PBE level.

Summary:
total moment = 1.489 Bohr magnetons per cell
offset from the most stable computed form = 5 kJ/mol of formula units
volume = 57 Å³/cell

Structure (extended XYZ):
```
4
Lattice="0.000 3.054 3.054 3.054 0.000 3.054 3.054 3.054 0.000" Properties=species:S:1:pos:R:3 pbc="T T T"
Cu 4.580 4.580 4.580
Fe 1.527 1.527 1.527
Ge 0.000 0.000 0.000
Sc 3.054 3.054 3.054
```

[10]
Below is an optimized crystal structure of TmPtAu, with properties calculated at the PBE level.

Summary:
energy relative to the elements = -0.630 eV/atom
total moment = 0.002 Bohr magnetons per cell
offset from the most stable computed form = 64 kJ/mol of formula units
volume = 70 Å³/cell

Structure (extended XYZ):
```
3
Lattice="-0.428 -1.922 4.175 -3.569 -2.785 0.904 0.688 -4.533 0.536" Properties=species:S:1:pos:R:3 pbc="T T T"
Au -0.827 -2.310 1.404
Pt -2.482 -6.930 4.211
Tm 0.000 0.000 0.000
```

[11]
Below is an optimized crystal structure of Li4MgPb2Au, with properties calculated at the PBE level.

Summary:
uncorrected energy = -22.503 eV per formula unit
volume = 154 Å³/cell

Structure (extended XYZ):
```
8
Lattice="4.773 0.000 0.000 0.000 4.773 0.000 0.000 0.000 6.779" Properties=species:S:1:pos:R:3 pbc="T T T"
Au 2.387 2.387 0.000
Li 0.000 0.000 0.000
Li 0.000 2.387 1.473
Li 2.387 2.387 3.389
Li 2.387 0.000 5.306
Mg 0.000 0.000 3.389
Pb 2.387 0.000 1.692
Pb 0.000 2.387 5.087
```

[12]
Below is an optimized crystal structure of CsHgCl3, with properties calculated at the PBE level.

Summary:
offset from the most stable computed form = 0 kJ/mol of formula units
volume = 1495 Å³/cell

Structure (extended XYZ):
```
45
Lattice="13.460 0.000 0.000 -6.730 11.657 0.000 0.000 0.000 9.529" Properties=species:S:1:pos:R:3 pbc="T T T"
Cl 7.843 3.274 0.783
Cl 7.481 7.038 1.238
Cl 4.113 0.918 1.313
Cl 1.164 3.306 1.327
Cl 0.865 11.321 1.451
Cl 3.977 9.240 1.504
Cl -6.027 10.838 1.510
Cl -2.365 5.205 1.562
Cl 0.951 7.095 1.870
Cl 5.644 3.228 3.959
Cl 9.084 1.660 4.414
Cl 5.469 7.636 4.490
Cl -4.449 8.996 4.504
Cl 2.641 5.247 4.627
Cl -0.717 3.593 4.680
Cl 5.669 11.457 4.686
Cl -1.040 11.103 4.738
Cl -1.061 7.286 5.046
Cl 6.704 5.155 7.135
Cl 3.625 2.960 7.590
Cl 10.609 3.102 7.666
Cl 3.285 11.012 7.680
Cl -3.507 6.746 7.803
Cl -3.260 10.481 7.856
Cl 0.357 1.019 7.862
Cl 3.406 7.006 7.914
Cl 0.111 8.933 8.222
Cs 4.380 5.206 1.288
Cs 11.185 1.365 1.362
Cs -2.298 8.951 1.540
Cs 9.049 5.261 4.464
Cs 2.320 1.288 4.538
Cs 2.171 9.171 4.716
Cs 6.762 1.190 7.641
Cs 6.686 9.004 7.714
Cs 0.127 5.192 7.892
Hg -0.012 5.146 2.954
Hg 6.734 9.026 2.969
Hg 6.771 1.312 3.013
Hg -2.268 9.095 6.130
Hg 11.180 1.312 6.145
Hg 4.481 5.137 6.189
Hg 2.280 9.074 9.307
Hg 2.277 1.319 9.321
Hg 8.938 5.208 9.365
```

[13]
Below is an optimized crystal structure of GdMgZn, with properties calculated at the PBE level.

Summary:
uncorrected energy = -7.715 eV per formula unit
total moment = 0.001 Bohr magnetons per cell
volume = 208 Å³/cell

Structure (extended XYZ):
```
9
Lattice="4.984 0.000 0.000 -2.492 4.316 0.000 0.000 0.000 9.685" Properties=species:S:1:pos:R:3 pbc="T T T"
Gd 0.000 2.877 0.717
Gd 2.492 1.439 2.969
Gd 2.492 1.439 8.797
Mg 0.000 0.000 1.585
Mg 0.000 0.000 5.084
Mg 0.000 2.877 6.958
Zn 0.000 2.877 3.939
Zn 2.492 1.439 5.869
Zn 0.000 0.000 8.233
```

[14]
Below is an optimized crystal structure of HfMgScCo, with properties calculated at the PBE level.

Summary:
total moment = 0.003 Bohr magnetons per cell
offset from the most stable computed form = 0 kJ/mol of formula units
volume = 72 Å³/cell

Structure (extended XYZ):
```
4
Lattice="0.000 3.302 3.302 3.302 0.000 3.302 3.302 3.302 0.000" Properties=species:S:1:pos:R:3 pbc="T T T"
Co 1.651 1.651 1.651
Hf 3.302 3.302 3.302
Mg 4.953 4.953 4.953
Sc 0.000 0.000 0.000
```

[15]
Below is an optimized crystal structure of TcSe2, with properties calculated at the PBE level.

Summary:
uncorrected energy = -18.265 eV per formula unit
total moment = 0.814 Bohr magnetons per cell
volume = 64 Å³/cell

Structure (extended XYZ):
```
3
Lattice="1.712 0.989 6.275 -1.712 0.989 6.275 0.000 -1.977 6.275" Properties=species:S:1:pos:R:3 pbc="T T T"
Se 0.000 0.000 4.714
Se 0.000 0.000 7.827
Tc 0.000 0.000 18.819
```

[16]
Below is an optimized crystal structure of Sr2LiTaO6, with properties calculated at the PBE level.

Summary:
total moment = 2.000 Bohr magnetons per cell
offset from the most stable computed form = 10 kJ/mol of formula units
volume = 123 Å³/cell

Structure (extended XYZ):
```
10
Lattice="0.987 0.736 5.596 2.453 4.705 2.164 -2.819 3.818 3.211" Properties=species:S:1:pos:R:3 pbc="T T T"
Li 0.311 4.629 5.486
O 0.675 2.678 5.518
O 1.881 5.069 6.619
O 1.359 4.669 3.799
O -0.737 4.590 7.172
O -1.259 4.190 4.352
O -0.053 6.581 5.453
Sr 0.152 2.264 2.683
Sr 0.470 6.995 8.289
Ta 0.000 0.000 0.000
```

[17]
Below is an optimized crystal structure of DyFeSi2Ir, with properties calculated at the PBE level.

Summary:
uncorrected energy = -37.117 eV per formula unit
total moment = 0.006 Bohr magnetons per cell
volume = 79 Å³/cell

Structure (extended XYZ):
```
5
Lattice="-2.014 2.014 4.867 2.014 -2.014 4.867 2.014 2.014 -4.867" Properties=species:S:1:pos:R:3 pbc="T T T"
Dy 2.014 0.000 2.434
Fe 0.000 0.000 4.867
Ir 0.000 0.000 0.000
Si 0.000 2.014 1.200
Si 0.000 2.014 3.667
```

[18]
Below is an optimized crystal structure of Ba2Hf6Sc, with properties calculated at the PBE level.

Summary:
uncorrected energy = -65.620 eV per formula unit
total moment = 0.011 Bohr magnetons per cell
volume = 238 Å³/cell

Structure (extended XYZ):
```
9
Lattice="9.310 0.000 0.000 -4.655 8.062 0.000 0.000 0.000 3.165" Properties=species:S:1:pos:R:3 pbc="T T T"
Ba 4.655 2.687 1.583
Ba 0.000 5.375 1.583
Hf 6.373 0.000 0.000
Hf 1.468 2.543 0.000
Hf -3.187 5.520 0.000
Hf 2.676 0.000 1.583
Hf -1.338 2.318 1.583
Hf 3.317 5.745 1.583
Sc 0.000 0.000 0.000
```

[19]
Below is an optimized crystal structure of AcBi2Pd2, with properties calculated at the PBE level.

Summary:
uncorrected energy = -26.014 eV per formula unit
total moment = 0.016 Bohr magnetons per cell
volume = 261 Å³/cell

Structure (extended XYZ):
```
10
Lattice="-2.208 0.663 -4.384 -4.211 -1.512 1.893 -2.342 10.176 2.917" Properties=species:S:1:pos:R:3 pbc="T T T"
Ac -3.380 2.834 -2.140
Ac -5.381 6.494 2.566
Bi -4.812 -0.621 -1.851
Bi -4.712 2.912 1.192
Bi -4.048 6.416 -0.766
Bi -3.949 9.949 2.277
Pd -4.006 0.335 0.706
Pd -2.627 4.816 1.119
Pd -6.134 4.512 -0.693
Pd -4.755 8.992 -0.279
```

[20]
Below is an optimized crystal structure of TaFeTe2, with properties calculated at the PBE level.

Summary:
uncorrected energy = -23.194 eV per formula unit
total moment = 1.939 Bohr magnetons per cell
volume = 82 Å³/cell

Structure (extended XYZ):
```
4
Lattice="-4.432 -1.764 1.044 -3.877 2.969 -0.023 -3.360 -0.399 -3.521" Properties=species:S:1:pos:R:3 pbc="T T T"
Fe -2.917 0.201 -0.625
Ta -5.834 0.403 -1.250
Te 0.000 0.000 0.000
Te -8.752 0.604 -1.875
```